This record from Alexandria via LeMat-Bulk describes a relaxed Tl2In2PbI6 crystal. The functional is PBE-GGA.

Cell lengths 8.4381, 8.4381, 8.5547 Å; angles 99.67, 99.67, 117.72 degrees
With the nearest neighbours (Å) after each atom.
Fractional positions:
Tl  0.1734  0.8266  0.0000  6 I 3.47-3.61
Tl  0.8266  0.1734  0.0000  6 I 3.47-3.61
In  0.3358  0.6642  0.5000  6 I 3.46-3.55
In  0.6642  0.3358  0.5000  6 I 3.46-3.55
Pb  0.0000  0.0000  0.5000  6 I 3.28
I  0.0737  0.3923  0.7326  1 Pb 3.28, 2 In 3.46-3.52, 2 Tl 3.53-3.61
I  0.2216  0.2216  0.2558  1 Pb 3.28, 2 Tl 3.47, 2 In 3.55
I  0.3923  0.0737  0.7326  1 Pb 3.28, 2 In 3.46-3.52, 2 Tl 3.53-3.61
I  0.6077  0.9263  0.2674  1 Pb 3.28, 2 In 3.46-3.52, 2 Tl 3.53-3.61
I  0.7784  0.7784  0.7442  1 Pb 3.28, 2 Tl 3.47, 2 In 3.55
I  0.9263  0.6077  0.2674  1 Pb 3.28, 2 In 3.46-3.52, 2 Tl 3.53-3.61

Summary:
* ΔE_f (raw): -0.577 eV/atom